The following is a DFT calculation (PBE) of a relaxed structure of CaTcIN2.

Polymorph energy (0 for the lowest one) (kJ/mol of atoms): 153.2
Formation energy without anion corrections (kcal/mol of atoms): 41.5
Space-group type: No. 123

```
CaTcIN2
1.0
-1.5620 3.1289 2.8205
-2.4030 -3.1325 2.1442
4.8049 -1.0597 3.8366
I Ca Tc N
1 1 1 2
Cartesian
2.4025 -0.5298 1.9183
0.0000 0.0000 0.0000
0.4200 -0.5317 4.4007
-1.2015 -1.5663 1.0721
-0.7810 1.5644 1.4102
```